1.
NaLiGa2Au4, optimized geometry, DFT PBE-GGA; total energy = -3.11 eV per atom
1.0
-1.2448 -1.0943 4.2693
0.0618 -4.3749 1.3530
6.7941 -1.0087 4.1788
Au Ga Li Na
4 2 1 1
Cartesian
3.9404 -1.3320 3.2639 Au
5.2839 -2.9582 5.6951 Au
0.3273 -3.5197 4.1060 Au
1.6707 -5.1459 6.5372 Au
4.2661 -4.8519 7.3693 Ga
1.3451 -1.6260 2.4318 Ga
2.8056 -3.2390 4.9005 Li
0.0000 0.0000 0.0000 Na

***

2.
Li2ErPt3, optimized geometry, DFT PBE-GGA; total energy = -5.24 eV per atom; polymorph energy (0 for the lowest one) = 0.000 eV per atom
1.0
-0.2154 -3.9375 -1.6296
6.2884 -2.3615 -0.7111
-0.2655 -2.6341 6.3997
Pt Er Li
6 2 4
Cartesian
-0.1826 -2.7124 0.9919 Pt
1.8197 -4.7840 0.1469 Pt
4.1088 -2.9492 0.9971 Pt
1.6987 -5.9839 3.0620 Pt
3.9879 -4.1491 3.9121 Pt
-0.2982 -3.8592 3.7782 Pt
4.2170 -4.2097 -1.5577 Er
1.8561 -2.0893 -0.7830 Er
1.9347 -3.4194 2.4203 Li
0.0000 0.0000 0.0000 Li
3.8728 -5.5137 1.6387 Li
-0.1328 -1.3170 3.1998 Li